CuPbCl3 (PBE-GGA, optimized geometry); formation energy from raw total energies = -0.817 eV per atom; total magnetic moment = 0.09 Bohr magnetons per cell; SG = P1 (1); mass density = 4.2 Mg/m³; crystal system = triclinic
1.0
-5.4998 2.2239 0.4988
0.1071 -4.5271 4.2240
1.3632 2.7181 2.8815
Pb Cl Cu
1 3 1
Cartesian
-0.5741 -3.5059 3.5892
-4.5105 1.1619 4.0896
-2.6136 -1.7748 2.9251
-1.3983 1.7489 2.0642
-2.3197 0.4444 3.7435

---

SrMn3Br (PBE-GGA, optimized geometry); formation energy from raw total energies = 0.817 eV per atom; total magnetic moment = 9.97 Bohr magnetons per cell; SG = Pm-3m (221); mass density = 4.8 Mg/m³; crystal system = cubic
1.0
-2.7521 2.7259 2.9525
-3.5005 -3.3837 -0.1389
1.9734 -2.2005 3.8711
Mn Sr Br
3 1 1
Cartesian
0.9867 -1.1003 1.9355
-1.7503 -1.6918 -0.0695
-1.3760 1.3630 1.4763
-2.1396 -1.4291 3.3423
0.0000 0.0000 0.0000

---

SmHoCo4 (PBE-GGA, optimized geometry); total magnetic moment = 3.81 Bohr magnetons per cell; SG = F-43m (216); mass density = 9.8 Mg/m³; crystal system = cubic; energy of formation from the pure elements = -3.6 kcal/mol of atoms
1.0
5.0959 0.0000 0.0000
2.5479 4.4132 0.0000
2.5479 1.4711 4.1608
Co Ho Sm
4 1 1
Cartesian
5.0959 2.9421 0.5152
3.8179 3.6800 2.6021
6.3739 3.6800 2.6021
5.0959 1.4664 2.6021
0.0000 0.0000 0.0000
2.5479 1.4711 1.0402

---

Pr3Sm4YSe8 (PBE-GGA, optimized geometry); formation energy from raw total energies = -1.813 eV per atom; total magnetic moment = 0.00 Bohr magnetons per cell; SG = R-3m (166); mass density = 6.9 Mg/m³; crystal system = trigonal
1.0
-7.0168 -0.3028 -4.6165
4.5042 -2.3148 -6.6942
0.5252 -4.3952 7.1407
Sm Se Pr Y
4 8 3 1
Cartesian
0.2626 -2.1976 3.5703
0.0000 0.0000 0.0000
-3.2458 -2.3490 1.2621
-3.5084 -0.1514 -2.3083
-3.6469 -5.1715 1.9685
1.9160 -3.9888 -2.6506
1.6596 -1.8413 -6.1386
-0.0574 -5.0166 4.3301
-3.9034 -3.0241 -1.5194
-0.3871 -2.8064 0.7724
-1.9299 -1.9962 -8.5002
-1.6003 -4.2064 -4.9425
-1.2563 -1.3088 -5.6554
-0.9937 -3.5064 -2.0850
2.5147 -3.3550 0.2232
2.2521 -1.1574 -3.3471

---

Y2ZnHg2 (PBE-GGA, optimized geometry); total magnetic moment = 0.00 Bohr magnetons per cell; SG = P4/mbm (127); mass density = 8.6 Mg/m³; energy above the lowest structure with this stoichiometry = 1.30 kcal/mol of atoms; crystal system = tetragonal; energy of formation from the pure elements = -8.1 kcal/mol of atoms
1.0
7.5738 0.0000 0.0000
0.0000 7.5738 0.0000
0.0000 0.0000 4.3452
Zn Hg Y
2 4 4
Cartesian
3.7869 3.7869 0.0000
0.0000 0.0000 0.0000
6.5318 4.8289 0.0000
4.8289 1.0420 0.0000
1.0420 2.7449 0.0000
2.7449 6.5318 0.0000
2.5150 1.2719 2.1726
5.0588 6.3019 2.1726
1.2719 5.0588 2.1726
6.3019 2.5150 2.1726

---

LiIrOs (PBE-GGA, optimized geometry); total magnetic moment = 2.99 Bohr magnetons per cell; SG = P6_3/mmc (194); mass density = 8.2 Mg/m³; energy above the lowest structure with this stoichiometry = 50.68 kcal/mol of atoms; crystal system = hexagonal; energy of formation from the pure elements = 50.1 kcal/mol of atoms
1.0
3.8512 -2.2235 0.0000
0.0000 4.4470 0.0000
0.0000 0.0000 9.2596
Os Ir Li
2 2 2
Cartesian
0.0000 0.0000 6.9447
0.0000 0.0000 2.3149
0.0000 0.0000 4.6298
0.0000 0.0000 0.0000
1.2837 2.2235 2.3149
2.5675 0.0000 6.9447

---

Rb2AuCl (PBE-GGA, optimized geometry); formation energy from raw total energies = -1.099 eV per atom; total magnetic moment = 0.00 Bohr magnetons per cell; SG = R-3m (166); mass density = 4.1 Mg/m³; energy above the lowest structure with this stoichiometry = 0.27 kcal/mol of atoms; crystal system = trigonal
1.0
-2.7530 1.2110 -3.7920
-4.0774 -2.4443 -0.9081
-6.4173 4.7631 3.0900
Rb Au Cl
2 1 1
Cartesian
-10.0087 2.7341 -1.1311
-3.2390 0.7957 -0.4790
-6.6238 1.7649 -0.8051
0.0000 0.0000 0.0000

---

AgAsS2Cl (PBE-GGA, optimized geometry); formation energy from raw total energies = 0.295 eV per atom; total magnetic moment = 0.00 Bohr magnetons per cell; SG = P4/mmm (123); mass density = 4.1 Mg/m³; energy above the lowest structure with this stoichiometry = 0.00 kcal/mol of atoms; crystal system = tetragonal
1.0
4.7497 0.0000 0.0000
0.0000 4.7497 0.0000
0.0000 0.0000 5.0398
S Cl Ag As
2 1 1 1
Cartesian
0.0000 2.3749 0.0000
2.3749 0.0000 0.0000
0.0000 0.0000 2.5199
2.3749 2.3749 2.5199
0.0000 0.0000 0.0000

---

Hf3Sc3TiN8 (PBE-GGA, optimized geometry); formation energy from raw total energies = -1.749 eV per atom; total magnetic moment = 0.00 Bohr magnetons per cell; SG = R-3m (166); mass density = 7.7 Mg/m³; crystal system = trigonal
1.0
-0.3833 -3.1131 -5.4858
5.4166 2.7884 1.6788
-1.9732 -5.1805 3.0777
N Hf Sc Ti
8 3 3 1
Cartesian
2.1256 -0.6980 0.2475
-0.5945 -2.1376 -0.4781
3.8553 -1.7366 2.6230
-0.7953 -3.7687 -3.3523
0.9344 -4.8073 -0.9768
1.0175 -3.1975 1.7434
2.0425 -2.3077 -2.4727
3.6545 -3.3676 -0.2512
1.7217 -1.1960 2.3783
1.5300 -2.7526 -0.3647
-1.1783 -4.1468 -1.2040
2.5166 -0.1624 -1.9035
2.7083 1.3942 0.8394
0.0000 0.0000 0.0000
-0.9866 -2.5902 1.5389

---

Sr2AgPd2Au5 (PBE-GGA, optimized geometry); total magnetic moment = 0.00 Bohr magnetons per cell; SG = P4/mbm (127); mass density = 11.6 Mg/m³; crystal system = tetragonal; energy of formation from the pure elements = -10.7 kcal/mol of atoms
1.0
4.2287 0.0000 0.0000
0.0000 10.0089 0.0000
0.0000 0.0000 10.0089
Sr Au Ag Pd
4 10 2 4
Cartesian
0.0000 8.2493 6.7641
0.0000 3.2448 8.2493
0.0000 6.7641 1.7596
0.0000 1.7596 3.2448
2.1143 0.5984 8.0048
2.1143 0.0000 5.0045
2.1143 4.4060 3.0004
2.1143 8.0048 9.4105
2.1143 5.0045 0.0000
2.1143 3.0004 5.6029
2.1143 7.0085 4.4060
2.1143 5.6029 7.0085
2.1143 9.4105 2.0041
2.1143 2.0041 0.5984
0.0000 5.0045 5.0045
0.0000 0.0000 0.0000
0.0000 3.7662 1.2383
0.0000 6.2427 8.7707
0.0000 8.7707 3.7662
0.0000 1.2383 6.2427

---

Al3BiAs (PBE-GGA, optimized geometry); total magnetic moment = 0.00 Bohr magnetons per cell; SG = Pm-3m (221); mass density = 4.9 Mg/m³; energy above the lowest structure with this stoichiometry = 0.00 kcal/mol of atoms; crystal system = cubic; energy of formation from the pure elements = 8.9 kcal/mol of atoms
1.0
-1.4237 -0.2013 4.7684
-2.4037 -4.2687 -0.8979
4.1232 -2.5580 1.1231
As Al Bi
1 3 1
Cartesian
0.0000 0.0000 0.0000
2.0616 -1.2790 0.5616
-1.2018 -2.1343 -0.4489
-0.7119 -0.1006 2.3842
0.1479 -3.5140 2.4968

---

MnCoAu2 (PBE-GGA, optimized geometry); total magnetic moment = 5.54 Bohr magnetons per cell; SG = Cm (8); mass density = 13.7 Mg/m³; crystal system = monoclinic; energy of formation from the pure elements = 2.5 kcal/mol of atoms
1.0
4.8871 -0.0507 0.0766
4.0535 2.7304 0.0766
1.1660 0.3495 4.5658
Mn Au Co
1 2 1
Cartesian
2.3738 0.7115 1.1756
7.6560 2.2947 3.4108
8.8789 2.6612 0.2609
5.1918 1.5561 2.3845

---

HoMg14Zn (PBE-GGA, optimized geometry); total magnetic moment = 0.00 Bohr magnetons per cell; SG = P4/mmm (123); mass density = 2.6 Mg/m³; crystal system = tetragonal; energy of formation from the pure elements = 0.0 kcal/mol of atoms
1.0
7.4146 -0.0158 0.0000
0.0157 7.4146 0.0000
0.0000 0.0000 6.6684
Mg Zn Ho
14 1 1
Cartesian
1.0379 4.5305 4.9600
4.5349 1.0186 1.7084
4.5421 4.5229 1.7089
2.7943 6.4819 3.3342
6.5016 6.4740 0.0000
2.7942 6.4819 0.0000
1.0379 4.5305 1.7084
4.5349 1.0186 4.9600
2.7864 2.7745 0.0000
6.4937 2.7667 0.0000
1.0306 1.0263 1.7090
1.0306 1.0263 4.9594
6.4937 2.7667 3.3342
4.5421 4.5229 4.9595
2.7863 2.7745 3.3342
6.5015 6.4740 3.3342

---

CrBiIrSe2 (PBE-GGA, optimized geometry); formation energy from raw total energies = 1.220 eV per atom; total magnetic moment = 0.08 Bohr magnetons per cell; SG = P4/mmm (123); mass density = 7.9 Mg/m³; crystal system = tetragonal
1.0
4.7856 0.0000 0.0000
0.0000 5.5751 0.0000
0.0000 0.0000 4.7856
Se Bi Ir Cr
2 1 1 1
Cartesian
2.3928 0.0000 0.0000
0.0000 0.0000 2.3928
0.0000 2.7875 0.0000
0.0000 0.0000 0.0000
2.3928 2.7875 2.3928